{
  "formula": "CrAsCl2",
  "functional": "SCAN",
  "state": "single point on PBEsol structure",
  "space_group": "No. 122",
  "crystal_system": "tetragonal",
  "relative_energy_ev_per_atom": 0.0677,
  "formation_energy_uncorrected_ev_per_fu": -1.5,
  "e_tot_ev_per_atom": -14.003,
  "lattice": [[-4.2023, 4.2023, 2.3287], [4.2023, -4.2023, 2.3287], [4.2023, 4.2023, -2.3287]],
  "species": ["Cr", "Cr", "As", "As", "Cl", "Cl", "Cl", "Cl"],
  "fractional_positions": [[0.0000, 0.0000, 0.0000], [0.7500, 0.2500, 0.5000], [0.2500, 0.7500, 0.5000], [0.5000, 0.5000, 0.0000], [0.3750, 0.2354, 0.3604], [0.7646, 0.1250, 0.1396], [0.8750, 0.0146, 0.6396], [0.9854, 0.6250, 0.8604]]
}